DFT (meta-GGA SCAN) results for a PBEsol-optimized structure of Hg3SeO.

Properties
energy relative to the elements, uncorrected: 0.670 eV per atom
symmetry: Pm-3m (221)

Lattice parameters (Å, degrees): 5.301 5.301 5.301 90.00 90.00 90.00
Element x y z (fractional)
Hg 0.000 0.000 0.500
Hg 0.000 0.500 0.000
Hg 0.500 0.000 0.000
Se 0.000 0.000 0.000
O 0.500 0.500 0.500

***

DFT (meta-GGA SCAN) results for a PBEsol-optimized structure of TaCoSCl2.

Properties
energy relative to the elements, uncorrected: 0.451 eV per atom
symmetry: P4/mmm (123)

Lattice parameters (Å, degrees): 4.298 4.298 4.509 90.00 90.00 90.00
Element x y z (fractional)
Ta 0.000 0.000 0.000
Co 0.500 0.500 0.500
S 0.500 0.500 0.000
Cl 0.000 0.500 0.500
Cl 0.500 0.000 0.500

***

DFT (meta-GGA SCAN) results for a PBEsol-optimized structure of Hf5Sn3.

Properties
symmetry: P6_3/mcm (193)
E: -53.098 eV/atom

Lattice parameters (Å, degrees): 8.330 8.330 5.648 90.00 90.00 120.00
Element x y z (fractional)
Hf 0.000 0.245 0.250
Hf 0.000 0.755 0.750
Hf 0.245 0.000 0.250
Hf 0.245 0.245 0.750
Hf 0.333 0.667 0.000
Hf 0.333 0.667 0.500
Hf 0.667 0.333 0.000
Hf 0.667 0.333 0.500
Hf 0.755 0.000 0.750
Hf 0.755 0.755 0.250
Sn 0.000 0.393 0.750
Sn 0.000 0.607 0.250
Sn 0.393 0.000 0.750
Sn 0.393 0.393 0.250
Sn 0.607 0.000 0.250
Sn 0.607 0.607 0.750